First-principles (GGA-PBE) data for Tb12Pr7Y after structural relaxation, as listed in the Alexandria database.

Output
Space-group type: Im-3m
Crystal system: cubic
DFT formation energy in eV/f.u.: 12.3

Lattice parameters (Å, degrees): 9.881 9.881 9.881 109.47 109.47 109.47
Fractional coordinates of all 20 atoms:
Tb1 0.000 0.247 0.753
Tb2 0.000 0.753 0.247
Tb3 0.247 0.000 0.753
Tb4 0.247 0.247 0.494
Tb5 0.247 0.494 0.247
Tb6 0.247 0.753 0.000
Tb7 0.494 0.247 0.247
Tb8 0.506 0.753 0.753
Tb9 0.753 0.000 0.247
Tb10 0.753 0.247 0.000
Tb11 0.753 0.506 0.753
Tb12 0.753 0.753 0.506
Pr1 0.000 0.000 0.500
Pr2 0.000 0.500 0.000
Pr3 0.000 0.500 0.500
Pr4 0.500 0.000 0.000
Pr5 0.500 0.000 0.500
Pr6 0.500 0.500 0.000
Pr7 0.500 0.500 0.500
Y1 0.000 0.000 0.000